1.
The following is a DFT calculation (PBE-GGA) of a relaxed CrBiTe2I crystal.

Properties
Its spin magnetization is 4.37 μB per cell. As for the formation energy (no corrections): 350 kJ/mol of formula units. As for the energy above the most stable polymorph in this dataset: 296 meV/atom. The value obtained for the volume is 43.1 A^3/atom.

abc: 5.975 5.975 6.029
angles: 90.00 90.00 90.00
Fractional positions:
Cr 0.000 0.000 0.000
Bi 0.500 0.500 0.500
Te 0.000 0.500 0.500
Te 0.500 0.000 0.500
I 0.500 0.500 0.000

2.
The following is a DFT calculation (PBE-GGA) of a relaxed Hf6NiRh crystal.

Properties
Its spin magnetization is 0.00 μB per cell. The value obtained for the calculated formation energy is 0.05 eV per atom. The value obtained for the volume is 20.9 A^3/atom.

abc: 5.979 10.597 5.948
angles: 90.00 117.42 90.00
Fractional positions:
Hf 0.239 0.201 0.245
Hf 0.239 0.799 0.245
Hf 0.242 0.000 0.760
Hf 0.258 0.500 0.240
Hf 0.261 0.299 0.755
Hf 0.261 0.701 0.755
Hf 0.739 0.299 0.245
Hf 0.739 0.701 0.245
Hf 0.742 0.500 0.760
Hf 0.758 0.000 0.240
Hf 0.761 0.201 0.755
Hf 0.761 0.799 0.755
Ni 0.000 0.000 0.000
Ni 0.500 0.500 0.000
Rh 0.000 0.500 0.500
Rh 0.500 0.000 0.500

3.
The following is a DFT calculation (PBE-GGA) of a relaxed TaPWS2 crystal.

Properties
Its spin magnetization is 3.88 μB per cell. As for the formation energy (no corrections): 440 kJ/mol of formula units. As for the energy above the most stable polymorph in this dataset: 0 meV/atom. The value obtained for the volume is 21.7 A^3/atom.

abc: 4.669 4.669 4.975
angles: 90.00 90.00 90.00
Fractional positions:
Ta 0.000 0.000 0.000
P 0.000 0.000 0.500
W 0.500 0.500 0.500
S 0.000 0.500 0.000
S 0.500 0.000 0.000

4.
The following is a DFT calculation (PBE-GGA) of a relaxed MnTl2Cr2 crystal.

Properties
Its spin magnetization is 1.81 μB per cell. The value obtained for the calculated formation energy is 0.85 eV per atom. As for the energy above the most stable polymorph in this dataset: 0 meV/atom. The value obtained for the volume is 16.8 A^3/atom.

abc: 6.075 6.075 4.543
angles: 90.00 90.00 90.00
Fractional positions:
Mn 0.000 0.000 0.000
Mn 0.500 0.500 0.000
Tl 0.181 0.319 0.500
Tl 0.319 0.819 0.500
Tl 0.681 0.181 0.500
Tl 0.819 0.681 0.500
Cr 0.134 0.634 0.000
Cr 0.366 0.134 0.000
Cr 0.634 0.866 0.000
Cr 0.866 0.366 0.000

5.
The following is a DFT calculation (PBE-GGA) of a relaxed RbSnAs2Pt4 crystal.

Properties
Its spin magnetization is 0.00 μB per cell. The value obtained for the calculated formation energy is -0.45 eV per atom. The value obtained for the volume is 22.6 A^3/atom.

abc: 4.057 4.057 10.969
angles: 90.00 90.00 90.00
Fractional positions:
Rb 0.000 0.000 0.000
Sn 0.000 0.000 0.500
As 0.500 0.500 0.195
As 0.500 0.500 0.805
Pt 0.000 0.500 0.325
Pt 0.000 0.500 0.675
Pt 0.500 0.000 0.325
Pt 0.500 0.000 0.675

6.
The following is a DFT calculation (PBE-GGA) of a relaxed LiPt2W crystal.

Properties
Its spin magnetization is 0.00 μB per cell. The value obtained for the calculated formation energy is 0.00 eV per atom. The value obtained for the volume is 15.6 A^3/atom.

abc: 2.939 4.568 9.317
angles: 90.00 90.00 90.00
Fractional positions:
Li 0.000 0.000 0.000
Li 0.500 0.500 0.000
Pt 0.000 0.000 0.510
Pt 0.000 0.500 0.775
Pt 0.500 0.000 0.775
Pt 0.500 0.500 0.510
W 0.000 0.500 0.270
W 0.500 0.000 0.270

7.
The following is a DFT calculation (PBE-GGA) of a relaxed AcEr2ScS6 crystal.

Properties
Its spin magnetization is 0.00 μB per cell. As for the formation energy (no corrections): -1939 kJ/mol of formula units. The value obtained for the volume is 25.5 A^3/atom.

abc: 7.315 7.315 7.315
angles: 56.59 56.59 56.59
Fractional positions:
Ac 0.000 0.000 0.000
Er 0.278 0.278 0.278
Er 0.790 0.790 0.790
Sc 0.479 0.479 0.479
S 0.079 0.638 0.433
S 0.201 0.570 0.871
S 0.433 0.079 0.638
S 0.570 0.871 0.201
S 0.638 0.433 0.079
S 0.871 0.201 0.570

8.
The following is a DFT calculation (PBE-GGA) of a relaxed HfTiMn2Se crystal.

Properties
Its spin magnetization is 4.80 μB per cell. As for the formation energy (no corrections): 633 kJ/mol of formula units. The value obtained for the volume is 22.5 A^3/atom.

abc: 4.720 4.720 5.052
angles: 90.00 90.00 90.00
Fractional positions:
Hf 0.000 0.000 0.000
Ti 0.000 0.000 0.500
Mn 0.000 0.500 0.000
Mn 0.500 0.000 0.000
Se 0.500 0.500 0.500